[1]
A PBEsol-optimized structure of Mg7TiAl6Si8H8O38. Source: Alexandria, functional SCAN.

- SG: No. 143

Lattice parameters (Å, degrees): 5.020 12.174 12.174 120.00 90.00 90.00
Atoms (fractional coordinates):
1 O 0.327 0.721 0.061
2 O 0.603 0.192 0.580
3 O 0.186 0.475 0.952
4 O 0.305 0.173 0.381
5 O 0.575 0.922 0.070
6 O 0.109 0.808 0.420
7 O 0.369 0.925 0.281
8 O 0.868 0.075 0.717
9 O 0.603 0.388 0.808
10 O 0.305 0.619 0.792
11 O 0.046 0.852 0.922
12 O 0.868 0.283 0.357
13 O 0.046 0.070 0.148
14 O 0.109 0.580 0.389
15 O 0.808 0.791 0.175
16 O 0.575 0.149 0.078
17 O 0.826 0.062 0.343
18 O 0.808 0.825 0.616
19 O 0.545 0.667 0.333
20 O 0.186 0.048 0.522
21 O 0.046 0.078 0.930
22 O 0.186 0.478 0.525
23 O 0.575 0.930 0.851
24 O 0.826 0.281 0.938
25 O 0.686 0.523 0.475
26 O 0.686 0.952 0.477
27 O 0.826 0.657 0.719
28 O 0.327 0.340 0.279
29 O 0.603 0.420 0.612
30 O 0.041 0.333 0.667
31 O 0.305 0.208 0.827
32 O 0.808 0.384 0.209
33 O 0.109 0.611 0.192
34 O 0.686 0.525 0.048
35 O 0.369 0.719 0.644
36 O 0.327 0.939 0.660
37 O 0.868 0.643 0.925
38 O 0.369 0.356 0.075
39 Si 0.225 0.667 0.333
40 Si 0.525 0.841 0.145
41 Si 0.721 0.333 0.667
42 Si 0.018 0.146 0.304
43 Si 0.525 0.304 0.159
44 Si 0.525 0.855 0.696
45 Si 0.018 0.158 0.854
46 Si 0.018 0.696 0.842
47 Mg 0.000 0.426 0.089
48 Mg 0.000 0.911 0.337
49 Mg 0.000 0.663 0.574
50 Mg 0.308 0.000 0.000
51 Mg 0.498 0.089 0.663
52 Mg 0.498 0.337 0.426
53 Mg 0.498 0.574 0.911
54 H 0.583 0.556 0.429
55 H 0.082 0.126 0.555
56 H 0.583 0.873 0.444
57 H 0.583 0.571 0.127
58 H 0.082 0.429 0.874
59 H 0.738 0.667 0.333
60 H 0.082 0.445 0.571
61 H 0.234 0.333 0.667
62 Al 0.006 0.648 0.068
63 Al 0.504 0.352 0.933
64 Al 0.006 0.420 0.352
65 Al 0.504 0.581 0.648
66 Al 0.006 0.932 0.580
67 Al 0.504 0.067 0.419
68 Ti 0.807 0.000 0.000

=====

[2]
A PBEsol-optimized structure of Li3Cr3FeO8. Source: Alexandria, functional SCAN.

- Energy above the most stable polymorph in this dataset: 13 meV/atom
- SG: No. 166

Lattice parameters (Å, degrees): 5.725 5.725 5.791 60.37 60.37 60.00
Atoms (fractional coordinates):
1 Li 0.000 0.000 0.500
2 Li 0.500 0.000 0.500
3 Li 0.000 0.500 0.500
4 O 0.253 0.766 0.215
5 O 0.766 0.253 0.215
6 O 0.234 0.234 0.785
7 O 0.258 0.258 0.226
8 O 0.234 0.747 0.785
9 O 0.766 0.766 0.215
10 O 0.747 0.234 0.785
11 O 0.742 0.742 0.774
12 Cr 0.500 0.500 0.000
13 Cr 0.500 0.000 0.000
14 Cr 0.000 0.500 0.000
15 Fe 0.000 0.000 0.000

=====

[3]
A PBEsol-optimized structure of LiAlAg2. Source: Alexandria, functional SCAN.

- E_form: -184 meV/atom
- SG: No. 25

Lattice parameters (Å, degrees): 2.824 4.067 5.466 90.00 90.00 90.00
Atoms (fractional coordinates):
1 Ag 0.000 0.000 0.981
2 Ag 0.500 0.500 0.269
3 Li 0.500 0.500 0.763
4 Al 0.000 0.000 0.487

=====

[4]
A PBEsol-optimized structure of CuNi2Mo. Source: Alexandria, functional SCAN.

- Energy above the most stable polymorph in this dataset: 82 meV/atom
- E_form: 121 meV/atom
- SG: No. 99

Lattice parameters (Å, degrees): 2.552 2.552 7.233 90.00 90.00 90.00
Atoms (fractional coordinates):
1 Ni 0.000 0.000 0.016
2 Ni 0.500 0.500 0.246
3 Mo 0.500 0.500 0.758
4 Cu 0.000 0.000 0.480

=====

Across the entries above, energy takes the values -632.49 -164.78 -73.61 -81.95 eV for the cell shown, respectively.